Entry from Alexandria via LeMat-Bulk: a relaxed structure of Tb2PrIn4 (PBE).

## Properties
Formation energy from the elements (eV/f.u.): -1.40
D(E_F) (states/eV per cell): 4.02
E above lowest polymorph (meV/atom): 87

The structure in POSCAR format:
```
Tb2PrIn4
1.0
5.994 0.000 0.000
0.000 5.994 0.000
-2.997 -2.997 5.818
Tb Pr In
2 1 4
Direct
0.646 0.646 0.291
0.354 0.354 0.709
0.000 0.000 0.000
0.750 0.250 0.500
0.250 0.750 0.500
0.500 0.000 0.000
0.000 0.500 0.000
```

Entry from Alexandria via LeMat-Bulk: a relaxed structure of ZrZn2Mo2 (PBE).

## Properties
Formation energy from the elements (eV/f.u.): 0.66
D(E_F) (states/eV per cell): 8.59
E above lowest polymorph (meV/atom): 0

The structure in POSCAR format:
```
ZrZn2Mo2
1.0
-1.398 5.906 -3.375
-6.772 -0.889 1.251
0.311 1.741 2.919
Mo Zn Zr
4 4 2
Direct
0.177 0.677 0.500
0.677 0.823 0.500
0.823 0.323 0.500
0.323 0.177 0.500
0.378 0.878 0.000
0.878 0.622 0.000
0.622 0.122 0.000
0.122 0.378 0.000
0.000 0.000 0.000
0.500 0.500 0.000
```

Entry from Alexandria via LeMat-Bulk: a relaxed structure of La2ZnHg (PBE).

## Properties
Formation energy from the elements (eV/f.u.): -0.24
D(E_F) (states/eV per cell): 10.85
E above lowest polymorph (meV/atom): 357

The structure in POSCAR format:
```
La2ZnHg
1.0
8.260 0.000 0.000
0.000 8.260 0.000
4.130 4.130 3.749
Zn Hg La
2 2 4
Direct
0.500 0.500 0.000
0.250 0.750 0.500
0.000 0.000 0.000
0.750 0.250 0.500
0.609 0.125 0.250
0.141 0.625 0.250
0.375 0.391 0.750
0.875 0.859 0.750
```

Entry from Alexandria via LeMat-Bulk: a relaxed structure of CsAgPbS2 (PBE).

## Properties
E_tot (eV per atom): -3.704

The structure in POSCAR format:
```
CsAgPbS2
1.0
6.003 0.000 0.000
0.000 7.352 0.000
0.000 -3.676 7.703
Cs Ag Pb S
2 2 2 4
Direct
0.233 0.750 0.500
0.767 0.250 0.500
0.000 0.000 0.000
0.000 0.500 0.000
0.500 0.750 0.000
0.500 0.250 0.000
0.736 0.885 0.770
0.736 0.615 0.230
0.264 0.385 0.770
0.264 0.115 0.230
```

Entry from Alexandria via LeMat-Bulk: a relaxed structure of CsSmCuF6 (PBE).

## Properties
E_tot (eV per atom): -5.255

The structure in POSCAR format:
```
CsSmCuF6
1.0
7.637 0.000 0.000
0.000 7.948 0.000
-3.818 -3.974 5.140
Cs Sm Cu F
2 2 2 12
Direct
0.836 0.586 0.673
0.164 0.414 0.327
0.500 0.000 0.500
0.000 0.000 0.500
0.500 0.500 0.000
0.500 0.000 0.000
0.613 0.863 0.225
0.874 0.124 0.748
0.819 0.138 0.263
0.444 0.625 0.263
0.444 0.138 0.263
0.819 0.625 0.263
0.387 0.137 0.775
0.126 0.876 0.252
0.181 0.862 0.737
0.556 0.375 0.737
0.556 0.862 0.737
0.181 0.375 0.737
```

Entry from Alexandria via LeMat-Bulk: a relaxed structure of Ca2ReCl (PBE).

## Properties
D(E_F) (states/eV per cell): 2.25
E above lowest polymorph (meV/atom): 0

The structure in POSCAR format:
```
Ca2ReCl
1.0
-0.798 0.047 -3.202
3.116 -0.784 -0.754
-1.914 -7.958 0.361
Re Ca Cl
1 2 1
Direct
0.500 0.500 0.750
0.000 0.000 0.990
0.000 0.000 0.510
0.500 0.500 0.250
```

Entry from Alexandria via LeMat-Bulk: a relaxed structure of ScMn2Fe (PBE).

## Properties
Formation energy from the elements (eV/f.u.): 0.41
D(E_F) (states/eV per cell): 5.38
E above lowest polymorph (meV/atom): 8

The structure in POSCAR format:
```
ScMn2Fe
1.0
4.247 0.000 0.000
2.124 3.678 0.000
2.124 1.226 3.468
Fe Mn Sc
1 2 1
Direct
0.500 0.500 0.500
0.000 0.000 0.000
0.250 0.250 0.250
0.750 0.750 0.750
```

Entry from Alexandria via LeMat-Bulk: a relaxed structure of MgTcP2 (PBE).

## Properties
Formation energy from the elements (eV/f.u.): -1.47
D(E_F) (states/eV per cell): 1.85

The structure in POSCAR format:
```
MgTcP2
1.0
6.749 0.004 -0.009
5.263 4.226 0.009
-5.943 -2.293 2.230
Mg P Tc
1 2 1
Direct
0.697 0.197 0.500
0.036 0.036 0.000
0.311 0.811 0.500
0.456 0.456 0.000
```

Entry from Alexandria via LeMat-Bulk: a relaxed structure of Rb2MoCl5 (PBE).

## Properties
E above lowest polymorph (meV/atom): 0

The structure in POSCAR format:
```
Rb2MoCl5
1.0
-3.214 -2.403 5.895
5.035 -7.785 -0.428
10.428 6.291 8.250
Rb Mo Cl
8 4 20
Direct
0.750 0.535 0.296
0.250 0.465 0.704
0.250 0.965 0.796
0.750 0.035 0.204
0.750 0.835 0.583
0.250 0.165 0.417
0.250 0.665 0.083
0.750 0.335 0.917
0.750 0.824 0.941
0.250 0.176 0.059
0.250 0.676 0.441
0.750 0.324 0.559
0.750 0.712 0.094
0.250 0.288 0.906
0.250 0.788 0.594
0.750 0.212 0.406
0.506 0.667 0.888
0.494 0.333 0.112
0.494 0.833 0.388
0.006 0.333 0.112
0.506 0.167 0.612
0.994 0.667 0.888
0.994 0.167 0.612
0.006 0.833 0.388
0.500 0.000 0.000
0.500 0.500 0.500
0.000 0.000 0.000
0.000 0.500 0.500
0.750 0.961 0.800
0.250 0.039 0.200
0.250 0.539 0.300
0.750 0.461 0.700
```

Entry from Alexandria via LeMat-Bulk: a relaxed structure of TiZnGaPt (PBE).

## Properties
Formation energy from the elements (eV/f.u.): -2.03
D(E_F) (states/eV per cell): 2.86

The structure in POSCAR format:
```
TiZnGaPt
1.0
-0.439 -0.159 4.403
-3.864 -1.202 1.798
-0.368 -3.908 2.049
Zn Ga Pt Ti
1 1 1 1
Direct
0.000 0.000 0.000
0.250 0.250 0.250
0.500 0.500 0.500
0.750 0.750 0.750
```

Entry from Alexandria via LeMat-Bulk: a relaxed structure of NbW2Se (PBE).

## Properties
D(E_F) (states/eV per cell): 8.39
E_tot (eV per atom): -9.202

The structure in POSCAR format:
```
NbW2Se
1.0
-3.568 1.144 -0.032
-0.072 -0.121 3.745
1.287 10.215 2.229
Nb Se W
2 2 4
Direct
0.000 0.000 0.000
0.750 0.250 0.500
0.500 0.500 0.000
0.250 0.750 0.500
0.624 0.125 0.250
0.126 0.625 0.250
0.375 0.376 0.750
0.875 0.874 0.750
```

Entry from Alexandria via LeMat-Bulk: a relaxed structure of K2ZrTl (PBE).

## Properties
Formation energy from the elements (eV/f.u.): 2.23
D(E_F) (states/eV per cell): 2.98
E above lowest polymorph (meV/atom): 224

The structure in POSCAR format:
```
K2ZrTl
1.0
-3.921 4.535 2.592
0.121 -1.649 3.069
4.549 2.943 1.733
K Tl Zr
2 1 1
Direct
0.000 0.008 0.006
0.000 0.492 0.494
0.500 0.250 0.250
0.500 0.750 0.750
```